(1)
Here is crystalline La6Sm8In at its relaxed geometry from Alexandria via LeMat-Bulk. Energies are from GGA-PBE.

The value obtained for the theoretical density is 6.8 g/cm³. Its electronic total energy is -69.329 eV per formula unit. Its density of states at the Fermi level is 1.2747 states/eV per atom.

```
La6Sm8In
1.0
-3.330 4.795 3.170
-2.267 3.978 -8.398
-5.760 -6.571 3.889
La Sm In
6 8 1
Direct
0.674 0.644 0.089
0.674 0.911 0.555
0.674 0.445 0.356
0.326 0.356 0.911
0.326 0.089 0.445
0.326 0.555 0.644
0.817 0.041 0.264
0.817 0.736 0.777
0.817 0.223 0.959
0.183 0.959 0.736
0.183 0.264 0.223
0.183 0.777 0.041
0.857 0.333 0.667
0.143 0.667 0.333
0.500 0.000 0.000
```

=====

(2)
Here is crystalline Ti2ReC at its relaxed geometry from Alexandria via LeMat-Bulk. Energies are from GGA-PBE.

The value obtained for the theoretical density is 8.4 g/cm³. Its electronic total energy is -37.364 eV per formula unit. Its density of states at the Fermi level is 0.9711 states/eV per atom.

```
Ti2ReC
1.0
7.459 0.000 0.000
0.000 7.459 0.000
3.730 3.730 2.079
Re C Ti
2 2 4
Direct
0.000 0.000 0.000
0.750 0.250 0.500
0.500 0.500 0.000
0.250 0.750 0.500
0.497 0.125 0.250
0.253 0.625 0.250
0.375 0.503 0.750
0.875 0.747 0.750
```

=====

(3)
Here is crystalline TbNd5Er8 at its relaxed geometry from Alexandria via LeMat-Bulk. Energies are from GGA-PBE.

The value obtained for the theoretical density is 7.9 g/cm³. Its electronic total energy is -61.632 eV per formula unit. Its density of states at the Fermi level is 1.3847 states/eV per atom.

```
TbNd5Er8
1.0
-4.592 -6.985 1.238
6.228 -1.441 -5.526
3.122 2.239 7.526
Tb Nd Er
1 5 8
Direct
0.250 0.500 0.750
0.031 0.326 0.135
0.865 0.896 0.191
0.809 0.674 0.705
0.500 0.000 0.500
0.295 0.104 0.969
0.165 0.738 0.077
0.923 0.088 0.660
0.732 0.255 0.335
0.665 0.397 0.920
0.523 0.603 0.268
0.573 0.912 0.835
0.340 0.262 0.427
0.080 0.745 0.477
```

=====

(4)
Here is crystalline Ac8Bi4SbTe3 at its relaxed geometry from Alexandria via LeMat-Bulk. Energies are from GGA-PBE.

The formation energy (no corrections) comes out at -1.244 eV/atom. The value obtained for the theoretical density is 8.3 g/cm³. Its electronic total energy is -81.843 eV per formula unit. Its density of states at the Fermi level is 0.3326 states/eV per atom.

```
Ac8Bi4SbTe3
1.0
-4.128 -4.665 -7.370
7.626 -5.838 -0.577
-4.732 0.970 8.354
Ac Bi Sb Te
8 4 1 3
Direct
0.248 0.750 0.002
0.248 0.750 0.496
0.249 0.247 0.498
0.754 0.750 0.002
0.246 0.250 0.998
0.751 0.753 0.502
0.752 0.250 0.504
0.752 0.250 0.998
0.500 0.000 0.000
0.500 0.000 0.500
0.000 0.000 0.000
0.000 0.000 0.500
0.000 0.500 0.000
0.500 0.500 0.000
0.500 0.500 0.500
0.000 0.500 0.500
```

=====

(5)
Here is crystalline Na2Hg2RhO6 at its relaxed geometry from Alexandria via LeMat-Bulk. Energies are from GGA-PBE.

The formation energy (no corrections) comes out at -0.715 eV/atom. The value obtained for the theoretical density is 6.0 g/cm³. Its electronic total energy is -48.202 eV per formula unit. Its density of states at the Fermi level is 0.0903 states/eV per atom.

```
Na2Hg2RhO6
1.0
-3.511 4.405 -1.759
-1.115 -2.841 5.051
3.545 3.837 2.836
Na Hg Rh O
2 2 1 6
Direct
0.337 0.663 0.500
0.663 0.337 0.500
0.849 0.151 0.000
0.151 0.849 0.000
0.000 0.000 0.500
0.741 0.741 0.679
0.000 0.287 0.692
0.259 0.259 0.321
0.287 0.000 0.692
0.000 0.713 0.308
0.713 0.000 0.308
```

=====

(6)
Here is crystalline IrRhPb2F at its relaxed geometry from Alexandria via LeMat-Bulk. Energies are from GGA-PBE.

The formation energy (no corrections) comes out at 0.271 eV/atom. The value obtained for the theoretical density is 10.8 g/cm³. Its electronic total energy is -24.146 eV per formula unit. Its density of states at the Fermi level is 0.9812 states/eV per atom.

```
IrRhPb2F
1.0
-0.099 4.689 2.499
-3.093 -1.216 2.160
3.322 -1.896 3.689
Pb Ir Rh F
2 1 1 1
Direct
0.000 0.000 0.500
0.500 0.000 0.000
0.000 0.000 0.000
0.500 0.500 0.500
0.000 0.500 0.000
```

=====

(7)
Here is crystalline FeCu2Hg at its relaxed geometry from Alexandria via LeMat-Bulk. Energies are from GGA-PBE.

The value obtained for the theoretical density is 11.0 g/cm³. Its energy relative to the lowest polymorph listed for this composition is 0.080 eV per atom. Its electronic total energy is -15.589 eV per formula unit. Its density of states at the Fermi level is 0.7966 states/eV per atom.

```
FeCu2Hg
1.0
-2.933 4.207 0.715
-3.094 0.105 4.151
4.840 -0.299 -1.817
Cu Fe Hg
2 1 1
Direct
0.986 0.986 0.000
0.754 0.254 0.500
0.513 0.513 0.000
0.247 0.747 0.500
```

=====

(8)
Here is crystalline NpNbV2 at its relaxed geometry from Alexandria via LeMat-Bulk. Energies are from GGA-PBE.

The value obtained for the theoretical density is 10.8 g/cm³. Its energy relative to the lowest polymorph listed for this composition is 0.244 eV per atom. Its electronic total energy is -39.153 eV per formula unit. Its density of states at the Fermi level is 1.7963 states/eV per atom.

```
NpNbV2
1.0
2.777 0.000 0.000
1.388 2.405 0.000
1.388 0.802 9.984
Np Nb V
1 1 2
Direct
0.000 0.000 0.000
0.500 0.500 0.500
0.087 0.087 0.740
0.913 0.913 0.260
```

=====

(9)
Here is crystalline CdPtPb at its relaxed geometry from Alexandria via LeMat-Bulk. Energies are from GGA-PBE.

The value obtained for the theoretical density is 11.8 g/cm³. Its energy relative to the lowest polymorph listed for this composition is 0.000 eV per atom. Its electronic total energy is -11.389 eV per formula unit. Its density of states at the Fermi level is 0.4327 states/eV per atom.

```
CdPtPb
1.0
4.681 0.000 0.000
2.341 4.054 0.000
2.341 1.351 3.822
Pb Pt Cd
1 1 1
Direct
0.500 0.500 0.500
0.750 0.750 0.750
0.000 0.000 0.000
```

=====

(10)
Here is crystalline Tm8AlOs2 at its relaxed geometry from Alexandria via LeMat-Bulk. Energies are from GGA-PBE.

The value obtained for the theoretical density is 10.1 g/cm³. Its electronic total energy is -64.449 eV per formula unit. Its density of states at the Fermi level is 0.7074 states/eV per atom.

```
Tm8AlOs2
1.0
5.301 0.137 -0.835
-1.709 6.988 -2.866
0.144 -0.010 7.742
Tm Al Os
8 1 2
Direct
0.581 0.333 0.066
0.581 0.066 0.333
0.197 0.382 0.382
0.000 0.247 0.759
0.000 0.759 0.247
0.803 0.624 0.624
0.418 0.940 0.674
0.418 0.674 0.940
0.001 0.003 0.003
0.500 0.687 0.319
0.500 0.319 0.687
```

=====

(11)
Here is crystalline Pr2SbTe at its relaxed geometry from Alexandria via LeMat-Bulk. Energies are from GGA-PBE.

The formation energy (no corrections) comes out at -1.360 eV/atom. The value obtained for the theoretical density is 6.6 g/cm³. Its energy relative to the lowest polymorph listed for this composition is 0.000 eV per atom. Its electronic total energy is -22.263 eV per formula unit. Its density of states at the Fermi level is 0.3641 states/eV per atom.

```
Pr2SbTe
1.0
-1.304 4.115 1.424
-5.575 -2.472 2.038
3.714 -1.647 8.161
Pr Sb Te
4 2 2
Direct
0.000 0.000 0.865
0.000 0.000 0.382
0.500 0.500 0.618
0.500 0.500 0.135
0.500 0.000 0.625
0.000 0.500 0.375
0.000 0.500 0.877
0.500 0.000 0.123
```

=====

(12)
Here is crystalline HgHPd2 at its relaxed geometry from Alexandria via LeMat-Bulk. Energies are from GGA-PBE.

The value obtained for the theoretical density is 11.1 g/cm³. Its energy relative to the lowest polymorph listed for this composition is 0.191 eV per atom. Its electronic total energy is -13.827 eV per formula unit. Its density of states at the Fermi level is 0.3210 states/eV per atom.

```
HgHPd2
1.0
4.853 0.000 2.802
1.618 4.575 2.802
0.000 0.000 5.604
Hg H Pd
2 2 4
Direct
0.500 0.500 0.500
0.750 0.750 0.750
0.250 0.250 0.250
0.000 0.000 0.000
0.125 0.125 0.625
0.125 0.125 0.125
0.625 0.125 0.125
0.125 0.625 0.125
```